A relaxed structure of LiCeRh, computed with PBE-GGA.

E_form = -0.471 eV/atom
DOS at the Fermi energy = 1.603 states/eV per atom
Polymorph energy (0 for the lowest one) = 0.00 kJ per mole of atoms

```
data_LiCeRh
_chemical_formula_sum 'Li6 Ce6 Rh6'
_cell_length_a 7.213
_cell_length_b 3.874
_cell_length_c 12.519
_cell_angle_alpha 90.00
_cell_angle_beta 90.78
_cell_angle_gamma 90.00
_space_group_name_H-M_alt 'P 1 21/m 1'
_space_group_IT_number 11
loop_
_space_group_symop_operation_xyz
'x,y,z'
'-x,-y,-z'
'-x,y+1/2,-z'
'x,-y+1/2,z'
loop_
_atom_site_label
_atom_site_fract_x
_atom_site_fract_y
_atom_site_fract_z
Li1 0.013 0.250 0.082
Li2 0.125 0.750 0.536
Li3 0.379 0.250 0.196
Ce1 0.053 0.750 0.288
Ce2 0.324 0.250 0.922
Ce3 0.454 0.250 0.625
Rh1 0.236 0.750 0.750
Rh2 0.267 0.250 0.408
Rh3 0.267 0.750 0.070
```


A relaxed structure of LiCe3Rh4, computed with PBE-GGA.

E_form = -0.517 eV/atom
DOS at the Fermi energy = 1.329 states/eV per atom

```
data_LiCe3Rh4
_chemical_formula_sum 'Li2 Ce6 Rh8'
_cell_length_a 5.759
_cell_length_b 9.590
_cell_length_c 5.630
_cell_angle_alpha 90.00
_cell_angle_beta 90.00
_cell_angle_gamma 90.00
_space_group_name_H-M_alt 'I m m 2'
_space_group_IT_number 44
loop_
_space_group_symop_operation_xyz
'x,y,z'
'-x,-y,z'
'-x,y,z'
'x,-y,z'
'x+1/2,y+1/2,z+1/2'
'-x+1/2,-y+1/2,z+1/2'
'-x+1/2,y+1/2,z+1/2'
'x+1/2,-y+1/2,z+1/2'
loop_
_atom_site_label
_atom_site_fract_x
_atom_site_fract_y
_atom_site_fract_z
Li1 0.000 0.000 0.000
Ce1 0.000 0.248 0.652
Ce2 0.000 0.500 0.289
Rh1 0.000 0.234 0.143
Rh2 0.246 0.000 0.384
```


A relaxed structure of LiCe2Rh, computed with PBE-GGA.

E_form = -0.178 eV/atom
DOS at the Fermi energy = 2.824 states/eV per atom

```
data_LiCe2Rh
_chemical_formula_sum 'Li3 Ce6 Rh3'
_cell_length_a 3.8957
_cell_length_b 3.8957
_cell_length_c 25.8194
_cell_angle_alpha 90.00
_cell_angle_beta 90.00
_cell_angle_gamma 120.00
_space_group_name_H-M_alt 'R 3 m'
_space_group_IT_number 160
_space_group_name_Hall 'R 3 -2"'
loop_
_atom_site_label
_atom_site_fract_x
_atom_site_fract_y
_atom_site_fract_z
Li1 0.0000 0.0000 0.0000
Ce1 0.0000 0.0000 0.5645
Ce2 0.0000 0.0000 0.7699
Rh1 0.0000 0.0000 0.1673
```


A relaxed structure of LiCe2Rh3, computed with PBE-GGA.

E_form = -0.504 eV/atom
DOS at the Fermi energy = 0.741 states/eV per atom

```
data_LiCe2Rh3
_chemical_formula_sum 'Li4 Ce8 Rh12'
_cell_length_a 12.278
_cell_length_b 7.457
_cell_length_c 5.450
_cell_angle_alpha 90.00
_cell_angle_beta 90.08
_cell_angle_gamma 90.00
_space_group_name_H-M_alt 'C 1 2/c 1'
_space_group_IT_number 15
loop_
_space_group_symop_operation_xyz
'x,y,z'
'-x,-y,-z'
'-x,y,-z+1/2'
'x,-y,z+1/2'
'x+1/2,y+1/2,z'
'-x+1/2,-y+1/2,-z'
'-x+1/2,y+1/2,-z+1/2'
'x+1/2,-y+1/2,z+1/2'
loop_
_atom_site_label
_atom_site_fract_x
_atom_site_fract_y
_atom_site_fract_z
Li1 0.000 0.099 0.250
Ce1 0.154 0.316 0.750
Rh1 0.000 0.451 0.250
Rh2 0.176 0.000 0.000
```


A relaxed structure of LiCeSbRh, computed with PBE-GGA.

Formation energy (no corrections) = -0.736 eV per atom
DOS at the Fermi energy = 1.432 states/eV per atom

```
data_LiCeSbRh
_chemical_formula_sum 'Li4 Ce4 Sb4 Rh4'
_cell_length_a 6.770
_cell_length_b 6.770
_cell_length_c 6.770
_cell_angle_alpha 90.00
_cell_angle_beta 90.00
_cell_angle_gamma 90.00
_space_group_name_H-M_alt 'F -4 3 m'
_space_group_IT_number 216
_space_group_name_Hall 'F -4 2 3'
loop_
_atom_site_label
_atom_site_fract_x
_atom_site_fract_y
_atom_site_fract_z
Li1 0.000 0.000 0.000
Ce1 0.250 0.250 0.250
Sb1 0.250 0.250 0.750
Rh1 0.000 0.000 0.500
```


A relaxed structure of LiCe2Sb3Rh4, computed with PBE-GGA.

Formation energy (no corrections) = -0.770 eV per atom
DOS at the Fermi energy = 1.079 states/eV per atom

```
data_LiCe2Sb3Rh4
_chemical_formula_sum 'Li1 Ce2 Sb3 Rh4'
_cell_length_a 4.181
_cell_length_b 4.181
_cell_length_c 11.673
_cell_angle_alpha 90.00
_cell_angle_beta 90.00
_cell_angle_gamma 90.00
_space_group_name_H-M_alt 'P -4 m 2'
_space_group_IT_number 115
loop_
_space_group_symop_operation_xyz
'x,y,z'
'y,-x,-z'
'-x,-y,z'
'-y,x,-z'
'-x,y,z'
'-y,-x,-z'
'x,-y,z'
'y,x,-z'
loop_
_atom_site_label
_atom_site_fract_x
_atom_site_fract_y
_atom_site_fract_z
Li1 0.000 0.000 0.000
Ce1 0.000 0.500 0.765
Sb1 0.000 0.500 0.367
Sb2 0.500 0.500 0.000
Rh1 0.000 0.000 0.500
Rh2 0.000 0.500 0.147
Rh3 0.500 0.500 0.500
```


A relaxed structure of LiCeSi2Rh, computed with PBE-GGA.

Formation energy (no corrections) = -0.751 eV per atom
DOS at the Fermi energy = 1.035 states/eV per atom

```
data_LiCeSi2Rh
_chemical_formula_sum 'Li2 Ce2 Si4 Rh2'
_cell_length_a 4.100
_cell_length_b 4.100
_cell_length_c 10.102
_cell_angle_alpha 90.00
_cell_angle_beta 90.00
_cell_angle_gamma 90.00
_space_group_name_H-M_alt 'I -4 m 2'
_space_group_IT_number 119
_space_group_name_Hall 'I -4 -2'
loop_
_atom_site_label
_atom_site_fract_x
_atom_site_fract_y
_atom_site_fract_z
Li1 0.000 0.000 0.000
Ce1 0.000 0.500 0.250
Si1 0.000 0.500 0.632
Rh1 0.000 0.000 0.500
```


A relaxed structure of LiCeSiRh, computed with PBE-GGA.

Formation energy (no corrections) = -0.570 eV per atom
DOS at the Fermi energy = 0.593 states/eV per atom

```
data_LiCeSiRh
_chemical_formula_sum 'Li4 Ce4 Si4 Rh4'
_cell_length_a 6.476
_cell_length_b 6.476
_cell_length_c 6.476
_cell_angle_alpha 90.00
_cell_angle_beta 90.00
_cell_angle_gamma 90.00
_space_group_name_H-M_alt 'F -4 3 m'
_space_group_IT_number 216
_space_group_name_Hall 'F -4 2 3'
loop_
_atom_site_label
_atom_site_fract_x
_atom_site_fract_y
_atom_site_fract_z
Li1 0.000 0.000 0.000
Ce1 0.250 0.250 0.750
Si1 0.250 0.250 0.250
Rh1 0.000 0.000 0.500
```


- The highest DOS at the Fermi energy belongs to which entry?
  LiCe2Rh